# 1
The following is a PBE calculation of a relaxed Tb5Pr6In crystal, from the Alexandria database.

```
data_Tb5Pr6In
_chemical_formula_sum 'Tb10 Pr12 In2'
_cell_length_a 5.081
_cell_length_b 10.101
_cell_length_c 15.456
_cell_angle_alpha 90.00
_cell_angle_beta 90.00
_cell_angle_gamma 90.00
_space_group_name_H-M_alt 'I m m m'
_space_group_IT_number 71
_space_group_name_Hall '-I 2 2'
loop_
_atom_site_label
_atom_site_type_symbol
_atom_site_fract_x
_atom_site_fract_y
_atom_site_fract_z
Tb1 Tb 0.000 0.000 0.000
Tb2 Tb 0.000 0.000 0.332
Tb3 Tb 0.000 0.500 0.336
Pr1 Pr 0.000 0.244 0.500
Pr2 Pr 0.000 0.255 0.165
In1 In 0.000 0.500 0.000
```

Energy relative to the elements, meV/atom: -58
Calculated volume, Å³ per atom: 33.1

# 2
The following is a PBE calculation of a relaxed BiSbIr3 crystal, from the Alexandria database.

```
data_BiSbIr3
_chemical_formula_sum 'Bi1 Sb1 Ir3'
_cell_length_a 4.891
_cell_length_b 4.891
_cell_length_c 4.891
_cell_angle_alpha 90.00
_cell_angle_beta 90.00
_cell_angle_gamma 90.00
_space_group_name_H-M_alt 'P m -3 m'
_space_group_IT_number 221
_space_group_name_Hall '-P 4 2 3'
loop_
_atom_site_label
_atom_site_type_symbol
_atom_site_fract_x
_atom_site_fract_y
_atom_site_fract_z
Bi1 Bi 0.000 0.000 0.000
Sb1 Sb 0.500 0.500 0.500
Ir1 Ir 0.000 0.500 0.500
```

Calculated volume, Å³ per atom: 23.4
Raw formation energy, eV/f.u.: 6.4

# 3
The following is a PBE calculation of a relaxed Ac5MgSn6 crystal, from the Alexandria database.

```
data_Ac5MgSn6
_chemical_formula_sum 'Ac10 Mg2 Sn12'
_cell_length_a 10.634
_cell_length_b 16.237
_cell_length_c 5.221
_cell_angle_alpha 90.00
_cell_angle_beta 119.27
_cell_angle_gamma 90.00
_space_group_name_H-M_alt 'C 1 2/m 1'
_space_group_IT_number 12
loop_
_space_group_symop_operation_xyz
'x,y,z'
'-x,-y,-z'
'-x,y,-z'
'x,-y,z'
'x+1/2,y+1/2,z'
'-x+1/2,-y+1/2,-z'
'-x+1/2,y+1/2,-z'
'x+1/2,-y+1/2,z'
loop_
_atom_site_label
_atom_site_type_symbol
_atom_site_fract_x
_atom_site_fract_y
_atom_site_fract_z
Ac1 Ac 0.000 0.000 0.000
Ac2 Ac 0.000 0.170 0.500
Ac3 Ac 0.000 0.351 0.000
Mg1 Mg 0.000 0.500 0.500
Sn1 Sn 0.249 0.000 0.747
Sn2 Sn 0.249 0.334 0.750
```

Energy relative to the elements, meV/atom: -543
Calculated volume, Å³ per atom: 32.8